# Dy2GaBiO6 (PBE-GGA, relaxed)
# ΔE_f (raw), kJ/mol of formula units: -2200
# DFT total energy, eV/atom: -6.866
data_Dy2GaBiO6
_cell_length_a 5.312
_cell_length_b 5.312
_cell_length_c 5.418
_cell_angle_alpha 90.00
_cell_angle_beta 90.00
_cell_angle_gamma 90.00
_space_group_name_H-M_alt 'P 4 m m'
_space_group_IT_number 99
loop_
_space_group_symop_operation_xyz
'x,y,z'
'-y,x,z'
'-x,-y,z'
'y,-x,z'
'-x,y,z'
'y,x,z'
'x,-y,z'
'-y,-x,z'
loop_
_atom_site_label
_atom_site_fract_x
_atom_site_fract_y
_atom_site_fract_z
Dy1 0.000 0.500 0.000
Ga1 0.000 0.000 0.611
Bi1 0.500 0.500 0.568
O1 0.000 0.000 0.267
O2 0.237 0.237 0.770
O3 0.500 0.500 0.144